Compound: Li2ZrCo
Source: Alexandria via LeMat-Bulk
Functional: PBE-GGA
Structure: relaxed

- Total magnetization: 0.000 Bohr magnetons per cell
- Excess energy over the best structure of this formula in the dataset: 0.0000 eV per atom
- DFT total energy: -0.3536 Ry/atom
- DOS(E_F): 2.956 states/eV per cell
- Energy relative to the elements: 0.059 eV per atom

The structure in CIF format:
```
data_Li2ZrCo
_chemical_formula_sum 'Li2 Zr1 Co1'
_symmetry_space_group_name_H-M 'P 4 m m'
_symmetry_Int_Tables_number 99
_cell_length_a 3.1659
_cell_length_b 3.1659
_cell_length_c 6.8871
_cell_angle_alpha 90.00
_cell_angle_beta 90.00
_cell_angle_gamma 90.00
loop_
_symmetry_equiv_pos_as_xyz
'x,y,z'
'-y,x,z'
'-x,-y,z'
'y,-x,z'
'-x,y,z'
'y,x,z'
'x,-y,z'
'-y,-x,z'
loop_
_atom_site_label
_atom_site_type_symbol
_atom_site_fract_x
_atom_site_fract_y
_atom_site_fract_z
Li1 Li 0.0000 0.0000 0.0000
Li2 Li 0.5000 0.5000 0.2402
Zr1 Zr 0.0000 0.0000 0.5896
Co1 Co 0.5000 0.5000 0.7737
```